No. 1
{"formula": "NbVRe2H", "functional": "PBE-GGA", "state": "relaxed", "lattice": [[-1.5330, 3.9429, -1.0987], [-3.4985, -1.8712, -1.8338], [-1.6228, 0.1805, 2.9118]], "species": ["Re", "Re", "Nb", "H", "V"], "fractional_positions": [[0.0000, 0.5000, 0.0000], [0.5000, 0.0000, 0.0000], [0.5000, 0.5000, 0.5000], [0.0000, 0.0000, 0.0000], [0.0000, 0.0000, 0.5000]], "total_energy_ev_per_atom": -9.481, "spacegroup": "No. 123"}


No. 2
{"formula": "Nb2VReH", "functional": "PBE-GGA", "state": "relaxed", "lattice": [[4.4823, 0.0000, 0.0000], [0.0000, 4.4823, 0.0000], [0.0000, 0.0000, 3.3321]], "species": ["Re", "Nb", "Nb", "H", "V"], "fractional_positions": [[0.5000, 0.5000, 0.5000], [0.0000, 0.5000, 0.0000], [0.5000, 0.0000, 0.0000], [0.0000, 0.0000, 0.0000], [0.0000, 0.0000, 0.5000]], "total_energy_ev_per_atom": -9.177, "spacegroup": "No. 123"}


No. 3
{"formula": "NbZn2ReH", "functional": "PBE-GGA", "state": "relaxed", "lattice": [[3.9160, 0.0000, 0.0000], [0.0000, 4.1595, 0.0000], [0.0000, 0.0000, 3.9160]], "species": ["Re", "Nb", "Zn", "Zn", "H"], "fractional_positions": [[0.5000, 0.5000, 0.5000], [0.0000, 0.5000, 0.0000], [0.0000, 0.0000, 0.5000], [0.5000, 0.0000, 0.0000], [0.0000, 0.0000, 0.0000]], "total_energy_ev_per_atom": -5.466, "spacegroup": "No. 123"}


No. 4
{"formula": "NbH2Rh2", "functional": "PBE-GGA", "state": "relaxed", "lattice": [[-4.6470, -3.9056, -0.9467], [3.5791, -3.3642, -3.6901], [0.8679, -1.5875, 2.2890]], "species": ["H", "H", "H", "H", "Nb", "Nb", "Rh", "Rh", "Rh", "Rh"], "fractional_positions": [[0.2688, 0.7688, 0.0000], [0.7688, 0.7312, 0.0000], [0.7312, 0.2312, 0.0000], [0.2312, 0.2688, 0.0000], [0.0000, 0.0000, 0.0000], [0.5000, 0.5000, 0.0000], [0.1505, 0.6505, 0.5000], [0.6505, 0.8495, 0.5000], [0.8495, 0.3495, 0.5000], [0.3495, 0.1505, 0.5000]], "spacegroup": "No. 127", "e_above_lowest_polymorph_mev_per_atom": 79}


No. 5
{"formula": "NbHRh", "functional": "PBE-GGA", "state": "relaxed", "lattice": [[2.8589, -0.6823, 0.0334], [-2.1678, 3.5281, 0.0936], [-0.1709, -0.3231, 8.1437]], "species": ["H", "H", "Nb", "Nb", "Rh", "Rh"], "fractional_positions": [[0.9995, 0.2498, 0.5002], [0.0005, 0.7502, 0.4998], [0.4999, 0.2502, 0.3366], [0.5001, 0.7498, 0.6634], [0.4999, 0.7501, 0.1189], [0.5001, 0.2499, 0.8811]], "spacegroup": "No. 67", "e_above_lowest_polymorph_mev_per_atom": 66}


No. 6
{"formula": "NbH2Rh", "functional": "PBE-GGA", "state": "relaxed", "lattice": [[4.2452, 0.0000, 0.0000], [0.0000, 4.2452, 0.0000], [2.1226, 2.1226, 4.3604]], "species": ["H", "H", "H", "H", "Nb", "Nb", "Rh", "Rh"], "fractional_positions": [[0.6571, 0.1250, 0.2500], [0.0929, 0.6250, 0.2500], [0.3750, 0.3429, 0.7500], [0.8750, 0.9071, 0.7500], [0.5000, 0.5000, 0.0000], [0.2500, 0.7500, 0.5000], [0.0000, 0.0000, 0.0000], [0.7500, 0.2500, 0.5000]], "spacegroup": "No. 122", "e_above_lowest_polymorph_mev_per_atom": 108}


No. 7
{"formula": "NbH2Rh", "functional": "PBE-GGA", "state": "relaxed", "lattice": [[-0.8848, -1.9877, -2.0291], [1.4188, -0.1961, -2.6076], [3.3700, -4.1873, 0.4513]], "species": ["Nb", "H", "H", "Rh"], "fractional_positions": [[0.5023, 0.5023, 0.4932], [0.0675, 0.0675, 0.7976], [0.2392, 0.2392, 0.2825], [0.6911, 0.6911, 0.9268]], "spacegroup": "No. 160", "e_above_lowest_polymorph_mev_per_atom": 194}


No. 8
{"formula": "NbH2Rh", "functional": "PBE-GGA", "state": "relaxed", "lattice": [[5.9287, 0.0000, 0.0000], [0.0000, 5.0653, -0.5495], [0.0000, -2.9311, 5.1657]], "species": ["Nb", "Nb", "Nb", "Nb", "H", "H", "H", "H", "H", "H", "H", "H", "Rh", "Rh", "Rh", "Rh"], "fractional_positions": [[0.1249, 0.2531, 0.0058], [0.3751, 0.7531, 0.5058], [0.8751, 0.7469, 0.9942], [0.6249, 0.2469, 0.4942], [0.3947, 0.2513, 0.7705], [0.1519, 0.7619, 0.7820], [0.8947, 0.2487, 0.7295], [0.6053, 0.7487, 0.2295], [0.8481, 0.2381, 0.2180], [0.6519, 0.7381, 0.7180], [0.3481, 0.2619, 0.2820], [0.1053, 0.7513, 0.2705], [0.6249, 0.2595, 0.0011], [0.1249, 0.2405, 0.4989], [0.3751, 0.7405, 0.9989], [0.8751, 0.7595, 0.5011]], "spacegroup": "No. 14", "e_above_lowest_polymorph_mev_per_atom": 17}


No. 9
{"formula": "NbHRh", "functional": "PBE-GGA", "state": "relaxed", "lattice": [[-2.0280, -1.1496, 6.1020], [-1.6440, -6.9468, -1.8552], [2.6285, -0.8144, 0.7202]], "species": ["H", "H", "H", "H", "Nb", "Nb", "Nb", "Nb", "Rh", "Rh", "Rh", "Rh"], "fractional_positions": [[0.2500, 0.2500, 0.0000], [0.2500, 0.7500, 0.0000], [0.7500, 0.2500, 0.0000], [0.7500, 0.7500, 0.0000], [0.0000, 0.7900, 0.5000], [0.0000, 0.2100, 0.5000], [0.5000, 0.2900, 0.5000], [0.5000, 0.7100, 0.5000], [0.2941, 0.0000, 0.0000], [0.7059, 0.0000, 0.0000], [0.7941, 0.5000, 0.0000], [0.2059, 0.5000, 0.0000]], "spacegroup": "No. 65", "e_above_lowest_polymorph_mev_per_atom": 25}


No. 10
{"formula": "NbH4Rh4", "functional": "PBE-GGA", "state": "relaxed", "lattice": [[-2.5854, 2.2780, 1.9368], [-4.4168, -2.2933, 0.8406], [0.2180, -0.5633, 5.0012]], "species": ["Nb", "H", "H", "H", "H", "Rh", "Rh", "Rh", "Rh"], "fractional_positions": [[0.5000, 0.0000, 0.0000], [0.1854, 0.4056, 0.2199], [0.8146, 0.5944, 0.7801], [0.9421, 0.1685, 0.9474], [0.0579, 0.8315, 0.0526], [0.6897, 0.4130, 0.2080], [0.8804, 0.8118, 0.4266], [0.3103, 0.5870, 0.7920], [0.1196, 0.1882, 0.5733]], "total_energy_ev_per_atom": -5.970, "spacegroup": "No. 2"}


No. 11
{"formula": "NbH4Rh3", "functional": "PBE-GGA", "state": "relaxed", "lattice": [[2.9225, -0.0314, 0.1016], [0.0011, 4.8157, 1.4557], [-0.1728, 0.3237, 5.0184]], "species": ["Nb", "H", "H", "H", "H", "Rh", "Rh", "Rh"], "fractional_positions": [[0.5113, 0.5009, 0.9992], [0.0098, 0.7624, 0.7008], [0.4645, 0.7790, 0.2590], [0.0099, 0.2377, 0.2989], [0.4707, 0.2177, 0.7445], [0.5101, 0.0006, 0.4996], [0.0060, 0.0017, 0.9992], [0.0173, 0.5009, 0.4986]], "total_energy_ev_per_atom": -5.820, "spacegroup": "No. 1"}


No. 12
{"formula": "Nb2H4Rh", "functional": "PBE-GGA", "state": "relaxed", "lattice": [[-0.9092, 1.7070, 2.5959], [-2.9883, -1.2206, -0.2440], [-0.3746, -4.3211, 4.7287]], "species": ["H", "H", "H", "H", "Nb", "Nb", "Rh"], "fractional_positions": [[0.8299, 0.8299, 0.3402], [0.1701, 0.1701, 0.6598], [0.0000, 0.5000, 0.0000], [0.5000, 0.0000, 0.0000], [0.6608, 0.6608, 0.6785], [0.3392, 0.3392, 0.3215], [0.0000, 0.0000, 0.0000]], "total_energy_ev_per_atom": -5.862, "spacegroup": "No. 139"}


No. 13
{"formula": "NbH2Rh", "functional": "PBE-GGA", "state": "relaxed", "lattice": [[-2.6311, -0.8151, 2.6248], [-0.9540, 2.6002, 2.6087], [-3.4131, 1.6753, -0.1434]], "species": ["H", "H", "Nb", "Rh"], "fractional_positions": [[0.2500, 0.2500, 0.2500], [0.7500, 0.7500, 0.7500], [0.0000, 0.0000, 0.0000], [0.5000, 0.5000, 0.5000]], "spacegroup": "No. 225", "e_above_lowest_polymorph_mev_per_atom": 508}


No. 14
{"formula": "NbH2Rh", "functional": "PBE-GGA", "state": "relaxed", "lattice": [[-0.8754, 2.7051, 0.7607], [-2.5666, 0.3031, -4.0315], [-4.1172, -2.0266, 2.4689]], "species": ["Nb", "Nb", "H", "H", "H", "H", "Rh", "Rh"], "fractional_positions": [[0.2500, 0.2500, 0.6244], [0.7500, 0.7500, 0.3756], [0.2500, 0.4723, 0.2996], [0.7500, 0.5277, 0.7004], [0.7500, 0.9723, 0.7004], [0.2500, 0.0277, 0.2996], [0.7500, 0.2500, 0.0771], [0.2500, 0.7500, 0.9229]], "spacegroup": "No. 59", "e_above_lowest_polymorph_mev_per_atom": 0}


No. 15
{"formula": "NbHRh", "functional": "PBE-GGA", "state": "relaxed", "lattice": [[5.0581, 0.0000, 0.0003], [0.0000, 2.9019, 0.0000], [-1.6081, 0.0000, 9.3630]], "species": ["Nb", "Nb", "Nb", "Nb", "H", "H", "H", "H", "Rh", "Rh", "Rh", "Rh"], "fractional_positions": [[0.1622, 0.0000, 0.3829], [0.8378, 0.0000, 0.6171], [0.1622, 0.5000, 0.8829], [0.8378, 0.5000, 0.1171], [0.2182, 0.0000, 0.7344], [0.7818, 0.0000, 0.2656], [0.2182, 0.5000, 0.2344], [0.7818, 0.5000, 0.7656], [0.6411, 0.0000, 0.8800], [0.3589, 0.0000, 0.1200], [0.6411, 0.5000, 0.3800], [0.3589, 0.5000, 0.6200]], "spacegroup": "No. 12", "e_above_lowest_polymorph_mev_per_atom": 27}


No. 16
{"formula": "NbH2Rh4", "functional": "PBE-GGA", "state": "relaxed", "lattice": [[5.0297, 1.2449, -2.1010], [-1.5068, 3.5716, -1.4853], [-0.0752, 0.7820, 7.7389]], "species": ["Nb", "Nb", "H", "H", "H", "H", "Rh", "Rh", "Rh", "Rh", "Rh", "Rh", "Rh", "Rh"], "fractional_positions": [[0.1871, 0.8569, 0.5174], [0.9200, 0.0889, 0.9825], [0.5781, 0.9030, 0.2978], [0.7925, 0.2580, 0.7282], [0.3144, 0.2790, 0.7717], [0.5285, 0.3555, 0.2014], [0.0536, 0.5357, 0.7500], [0.4068, 0.0863, 0.9560], [0.8634, 0.3010, 0.3674], [0.3608, 0.3012, 0.3676], [0.7005, 0.8807, 0.5443], [0.2439, 0.6842, 0.1328], [0.7467, 0.6839, 0.1327], [0.5535, 0.5357, 0.7501]], "total_energy_ev_per_atom": -6.804, "spacegroup": "No. 1"}


No. 17
{"formula": "NbHRh", "functional": "PBE-GGA", "state": "relaxed", "lattice": [[-2.0698, -1.6882, -1.1932], [-0.3160, -1.4102, 2.5434], [-2.7761, 2.6205, 1.1080]], "species": ["Nb", "H", "Rh"], "fractional_positions": [[0.0000, 0.0000, 0.0000], [0.5000, 0.5000, 0.0000], [0.5000, 0.5000, 0.5000]], "spacegroup": "No. 123", "e_above_lowest_polymorph_mev_per_atom": 0}


No. 18
{"formula": "NbH3Rh2", "functional": "PBE-GGA", "state": "relaxed", "lattice": [[4.0061, -0.0045, 0.0000], [0.0067, 5.9176, 0.0000], [0.0000, 0.0000, 8.9077]], "species": ["Nb", "Nb", "Nb", "Nb", "H", "H", "H", "H", "H", "H", "H", "H", "H", "H", "H", "H", "Rh", "Rh", "Rh", "Rh", "Rh", "Rh", "Rh", "Rh"], "fractional_positions": [[0.2500, 0.8689, 0.0799], [0.2500, 0.3689, 0.4201], [0.7500, 0.6311, 0.5799], [0.7500, 0.1311, 0.9201], [0.2500, 0.6389, 0.5497], [0.2500, 0.1389, 0.9503], [0.2500, 0.6123, 0.8983], [0.2500, 0.1123, 0.6017], [0.2501, 0.5969, 0.2398], [0.2501, 0.0969, 0.2602], [0.7499, 0.9031, 0.7398], [0.7499, 0.4031, 0.7602], [0.7500, 0.8877, 0.3983], [0.7500, 0.3877, 0.1017], [0.7500, 0.8611, 0.0497], [0.7500, 0.3611, 0.4503], [0.2500, 0.8640, 0.7586], [0.2500, 0.3640, 0.7414], [0.2500, 0.8830, 0.4122], [0.2500, 0.3830, 0.0878], [0.7500, 0.6170, 0.9122], [0.7500, 0.1170, 0.5878], [0.7500, 0.6360, 0.2586], [0.7500, 0.1360, 0.2414]], "total_energy_ev_per_atom": -6.002, "spacegroup": "No. 62"}


No. 19
{"formula": "NbH2Rh2", "functional": "PBE-GGA", "state": "relaxed", "lattice": [[3.4497, 0.0000, 0.0000], [0.0000, 3.4497, 0.0000], [1.7248, 1.7248, 4.3649]], "species": ["H", "H", "Nb", "Rh", "Rh"], "fractional_positions": [[0.7500, 0.2500, 0.5000], [0.2500, 0.7500, 0.5000], [0.0000, 0.0000, 0.0000], [0.3420, 0.3420, 0.3160], [0.6580, 0.6580, 0.6840]], "spacegroup": "No. 139", "e_above_lowest_polymorph_mev_per_atom": 0}


No. 20
{"formula": "NbHRh", "functional": "PBE-GGA", "state": "relaxed", "lattice": [[-3.3019, 2.1126, 3.0877], [-1.1434, -1.2258, 4.5334], [1.5023, 2.6595, 2.9326]], "species": ["Nb", "Nb", "H", "H", "Rh", "Rh"], "fractional_positions": [[0.9602, 0.7686, 0.9550], [0.4605, 0.2687, 0.4550], [0.4599, 0.2693, 0.9549], [0.9622, 0.2633, 0.9538], [0.2337, 0.9909, 0.2320], [0.6880, 0.5459, 0.6780]], "spacegroup": "No. 1", "e_above_lowest_polymorph_mev_per_atom": 87}


No. 21
{"formula": "NbHRh", "functional": "PBE-GGA", "state": "relaxed", "lattice": [[2.5121, 0.0000, 1.2480], [0.9049, 3.6575, 1.3309], [-0.4086, -0.0041, 3.9748]], "species": ["Nb", "H", "Rh"], "fractional_positions": [[0.1786, 0.3214, 0.3214], [0.0611, 0.9389, 0.9389], [0.7603, 0.7397, 0.7397]], "spacegroup": "No. 44", "e_above_lowest_polymorph_mev_per_atom": 375}


No. 22
{"formula": "NbHRh", "functional": "PBE-GGA", "state": "relaxed", "lattice": [[-0.0589, 4.1253, -2.6318], [-2.0816, 1.0319, 1.6641], [3.3633, 1.4209, 3.3260]], "species": ["Nb", "Nb", "H", "H", "Rh", "Rh"], "fractional_positions": [[0.2305, 0.5000, 0.7917], [0.7695, 0.5000, 0.2083], [0.0000, 0.0000, 0.0000], [0.0000, 0.0000, 0.5000], [0.2972, 0.0000, 0.2929], [0.7028, 0.0000, 0.7071]], "spacegroup": "No. 10", "e_above_lowest_polymorph_mev_per_atom": 25}


No. 23
{"formula": "NbHRh", "functional": "PBE-GGA", "state": "relaxed", "lattice": [[-2.0945, -2.4808, -3.4004], [-0.5259, -2.1046, 1.8593], [-4.4147, 2.1530, 1.1883]], "species": ["H", "H", "Nb", "Nb", "Rh", "Rh"], "fractional_positions": [[0.0000, 0.0000, 0.0000], [0.0000, 0.5000, 0.5000], [0.2730, 0.5000, 0.1811], [0.7270, 0.5000, 0.8189], [0.7540, 0.0000, 0.3265], [0.2460, 0.0000, 0.6735]], "spacegroup": "No. 10", "e_above_lowest_polymorph_mev_per_atom": 14}


No. 24
{"formula": "NbH2Rh", "functional": "PBE-GGA", "state": "relaxed", "lattice": [[2.9916, 0.0000, 0.0000], [1.4958, 2.5908, 0.0000], [1.4958, 0.8636, 5.0549]], "species": ["H", "H", "Nb", "Rh"], "fractional_positions": [[0.1295, 0.1295, 0.6116], [0.8705, 0.8705, 0.3884], [0.0000, 0.0000, 0.0000], [0.5000, 0.5000, 0.5000]], "spacegroup": "No. 166", "e_above_lowest_polymorph_mev_per_atom": 199}


No. 25
{"formula": "NbHRu2Rh", "functional": "PBE-GGA", "state": "relaxed", "lattice": [[-1.4250, 3.6848, -0.2607], [-2.1085, -0.5819, 3.3003], [3.0028, 1.3134, 2.1500]], "species": ["Ru", "Ru", "Nb", "Rh", "H"], "fractional_positions": [[0.0000, 0.5000, 0.0000], [0.5000, 0.0000, 0.0000], [0.5000, 0.5000, 0.5000], [0.0000, 0.0000, 0.5000], [0.0000, 0.0000, 0.0000]], "spacegroup": "No. 123", "e_above_lowest_polymorph_mev_per_atom": 0}